Hg2HOF | GGA-PBE | optimized geometry

The structure belongs to space group P4/mmm (No. 123); the cell edges are 4.524, 4.524 and 4.223 Å and the angles 90.00°, 90.00° and 90.00°. The inequivalent atoms are Hg at (0.000, 0.500, 0.000), H at (0.000, 0.000, 0.500), O at (0.500, 0.500, 0.000) and F at (0.500, 0.500, 0.500).

The value obtained for the calculated volume is 17.28 A^3/atom. The energy is -9.0 eV per cell.